Record 1
The following is a DFT calculation (PBE) of a geometry-optimized Pm2Pr4Th structure.

Summary:
**Symmetry**: R-3m (166)
**Size of the total moment**: 0.0 μB/cell
**Final energy**: -5.066 eV per atom
**ΔE_f**: 0.08 eV/atom

Cell lengths 3.6396, 3.6396, 21.8930 Å; angles 85.23, 85.23, 60.00 degrees
Last column: nearest neighbours and their distance in Å.
Fractional coordinates of all 7 atoms:
1 Pm 0.2360 0.2360 0.2919  4 Pr 3.50-3.60, 6 Pm 3.64
2 Pm 0.7640 0.7640 0.7081  4 Pr 3.50-3.60, 6 Pm 3.64
3 Pr 0.7104 0.7104 0.8687  1 Pm 3.50, 3 Th 3.55, 6 Pr 3.64
4 Pr 0.2896 0.2896 0.1313  1 Pm 3.50, 3 Th 3.55, 6 Pr 3.64
5 Pr 0.1419 0.1419 0.5742  3 Pm 3.60, 9 Pr 3.64-3.86
6 Pr 0.8581 0.8581 0.4258  3 Pm 3.60, 9 Pr 3.64-3.86
7 Th 0.0000 0.0000 0.0000  6 Pr 3.55, 6 Th 3.64



Record 2
The following is a DFT calculation (PBE) of a geometry-optimized PmPrTh2 structure.

Summary:
**Symmetry**: Fm-3m (225)
**Size of the total moment**: 0.0 μB/cell
**Final energy**: -5.877 eV per atom
**ΔE_f**: 0.22 eV/atom

Cell lengths 5.7473, 5.7473, 5.7473 Å; angles 60.00, 60.00, 60.00 degrees
Last column: nearest neighbours and their distance in Å.
Fractional coordinates of all 4 atoms:
1 Pr 0.5000 0.5000 0.5000  8 Th 3.52
2 Th 0.2500 0.2500 0.2500  4 Pr 3.52, 4 Pm 3.52
3 Th 0.7500 0.7500 0.7500  4 Pr 3.52, 4 Pm 3.52
4 Pm 0.0000 0.0000 0.0000  8 Th 3.52



Record 3
The following is a DFT calculation (PBE) of a geometry-optimized Pm5Pr4Th structure.

Summary:
**Symmetry**: P4/mmm (123)
**Size of the total moment**: 0.0 μB/cell
**Final energy**: -5.006 eV per atom
**ΔE_f**: 0.02 eV/atom

Cell lengths 3.6687, 3.6687, 26.0781 Å; angles 90.00, 90.00, 90.00 degrees
Last column: nearest neighbours and their distance in Å.
Fractional coordinates of all 10 atoms:
1 Pm 0.5000 0.5000 0.0935  4 Th 3.56, 4 Pm 3.67, 4 Pr 3.77
2 Pm 0.5000 0.5000 0.2985  4 Pm 3.67, 8 Pr 3.68-3.70
3 Pm 0.5000 0.5000 0.5000  4 Pm 3.67, 8 Pr 3.68
4 Pm 0.5000 0.5000 0.7015  4 Pm 3.67, 8 Pr 3.68-3.70
5 Pm 0.5000 0.5000 0.9065  4 Th 3.56, 4 Pm 3.67, 4 Pr 3.77
6 Pr 0.0000 0.0000 0.1986  4 Pr 3.67, 8 Pm 3.68-3.77
7 Pr 0.0000 0.0000 0.3998  4 Pr 3.67, 8 Pm 3.68-3.70
8 Pr 0.0000 0.0000 0.6002  4 Pr 3.67, 8 Pm 3.68-3.70
9 Pr 0.0000 0.0000 0.8014  4 Pr 3.67, 8 Pm 3.68-3.77
10 Th 0.0000 0.0000 0.0000  8 Pm 3.56, 4 Th 3.67